Zr2GaNi | GGA-PBE | optimized geometry

**Volume**: 320.66 Å³ per cell
**ΔH_f (0 K)**: 273.0 meV per atom
**DOS at the Fermi energy**: 0.850 states/eV/atom

a b c (Å): 4.1326 4.1326 18.7753
angles (deg): 90.00 90.00 90.00
Atoms (fractional coordinates):
Zr: 0.2474 0.2500 0.1250
Zr: 0.2500 0.7474 0.3750
Zr: 0.2500 0.7526 0.8750
Zr: 0.2526 0.2500 0.6250
Zr: 0.7474 0.7500 0.6250
Zr: 0.7500 0.2474 0.8750
Zr: 0.7500 0.2526 0.3750
Zr: 0.7526 0.7500 0.1250
Ga: 0.0000 0.0000 0.0000
Ga: 0.0000 0.5000 0.2500
Ga: 0.5000 0.0000 0.7500
Ga: 0.5000 0.5000 0.5000
Ni: 0.0000 0.0000 0.5000
Ni: 0.0000 0.5000 0.7500
Ni: 0.5000 0.0000 0.2500
Ni: 0.5000 0.5000 0.0000

LiCeBiO2 | GGA-PBE | optimized geometry

**Raw formation energy**: -2003.5 meV per atom
**Volume**: 219.40 Å³ per cell
**DOS at the Fermi energy**: 0.476 states/eV/atom

a b c (Å): 3.9070 3.9070 14.3731
angles (deg): 90.00 90.00 90.00
Atoms (fractional coordinates):
Li: 0.0000 0.0000 0.0000
Li: 0.5000 0.5000 0.5000
Ce: 0.0000 0.0000 0.3947
Ce: 0.5000 0.5000 0.8947
Bi: 0.0000 0.0000 0.7109
Bi: 0.5000 0.5000 0.2109
O: 0.0000 0.5000 0.4565
O: 0.0000 0.5000 0.9565
O: 0.5000 0.0000 0.4565
O: 0.5000 0.0000 0.9565

Copy entry 1 word for word.
Zr2GaNi | GGA-PBE | optimized geometry

**Volume**: 320.66 Å³ per cell
**ΔH_f (0 K)**: 273.0 meV per atom
**DOS at the Fermi energy**: 0.850 states/eV/atom

a b c (Å): 4.1326 4.1326 18.7753
angles (deg): 90.00 90.00 90.00
Atoms (fractional coordinates):
Zr: 0.2474 0.2500 0.1250
Zr: 0.2500 0.7474 0.3750
Zr: 0.2500 0.7526 0.8750
Zr: 0.2526 0.2500 0.6250
Zr: 0.7474 0.7500 0.6250
Zr: 0.7500 0.2474 0.8750
Zr: 0.7500 0.2526 0.3750
Zr: 0.7526 0.7500 0.1250
Ga: 0.0000 0.0000 0.0000
Ga: 0.0000 0.5000 0.2500
Ga: 0.5000 0.0000 0.7500
Ga: 0.5000 0.5000 0.5000
Ni: 0.0000 0.0000 0.5000
Ni: 0.0000 0.5000 0.7500
Ni: 0.5000 0.0000 0.2500
Ni: 0.5000 0.5000 0.0000

- Which of these has the lowest DOS at the Fermi energy?
  LiCeBiO2

- DOS at the Fermi energy of number 2 (LiCeBiO2)?
  0.476 states/eV/atom